No. 1
Below is an optimized crystal structure of TaCo2Se, with properties calculated at the PBE level.

It has space group Immm (No. 71), with a = 3.1275 Å, b = 4.2478 Å, c = 8.2004 Å, α = 90.00°, β = 90.00° and γ = 90.00°. The distinct sites, in fractional coordinates, are Ta at (0.0000, 0.0000, 0.0000), Co at (0.0000, 0.5000, 0.2311) and Se at (0.0000, 0.0000, 0.5000).

The value obtained for the uncorrected formation energy is 69 meV/atom.


No. 2
Below is an optimized crystal structure of CdRu5, with properties calculated at the PBE level.

It has space group Cm (No. 8), with a = 10.1699 Å, b = 2.7703 Å, c = 6.5241 Å, α = 90.00°, β = 104.70° and γ = 90.00°. The distinct sites, in fractional coordinates, are Cd at (0.0000, 0.0000, 0.0000), Ru at (0.0521, 0.0000, 0.5991), Ru at (0.1691, 0.5000, 0.3410), Ru at (0.2241, 0.5000, 0.9275), Ru at (0.3199, 0.0000, 0.6526) and Ru at (0.3772, 0.0000, 0.2879).

The energy above the most stable polymorph in this dataset comes out at 0.00 eV/f.u.


No. 3
Below is an optimized crystal structure of CsYI2, with properties calculated at the PBE level.

It has space group I-42d (No. 122), with a = 7.1141 Å, b = 7.1141 Å, c = 18.3564 Å, α = 90.00°, β = 90.00° and γ = 90.00°. The distinct sites, in fractional coordinates, are Cs at (0.0000, 0.0000, 0.0000), Y at (0.0000, 0.0000, 0.5000) and I at (0.1382, 0.2500, 0.6250).

The energy above the most stable polymorph in this dataset comes out at 0.61 eV/f.u. The value obtained for the uncorrected formation energy is -686 meV/atom.


No. 4
Below is an optimized crystal structure of Tb2Mg2Co, with properties calculated at the PBE level.

It has space group C2/c (No. 15), with a = 8.1982 Å, b = 12.9926 Å, c = 5.7263 Å, α = 90.00°, β = 128.43° and γ = 90.00°. The distinct sites, in fractional coordinates, are Tb at (0.1660, 0.1628, 0.1557), Mg at (0.1748, 0.4256, 0.2067) and Co at (0.0000, 0.0013, 0.2500).


No. 5
Below is an optimized crystal structure of RbFeCo, with properties calculated at the PBE level.

It has space group F-43m (No. 216), with a = 6.5706 Å, b = 6.5706 Å, c = 6.5706 Å, α = 90.00°, β = 90.00° and γ = 90.00°. The distinct sites, in fractional coordinates, are Rb at (0.0000, 0.0000, 0.0000), Fe at (0.0000, 0.0000, 0.5000) and Co at (0.2500, 0.2500, 0.7500).

The energy above the most stable polymorph in this dataset comes out at 3.45 eV/f.u.


No. 6
Below is an optimized crystal structure of Mg2AgOs, with properties calculated at the PBE level.

It has space group Imm2 (No. 44), with a = 2.9350 Å, b = 4.6974 Å, c = 9.9214 Å, α = 90.00°, β = 90.00° and γ = 90.00°. The distinct sites, in fractional coordinates, are Mg at (0.0000, 0.0000, 0.0000), Mg at (0.0000, 0.5000, 0.2223), Ag at (0.0000, 0.5000, 0.7468) and Os at (0.0000, 0.0000, 0.4873).


No. 7
Below is an optimized crystal structure of Ba6Tl23, with properties calculated at the PBE level.

It has space group Fm-3m (No. 225), with a = 15.9402 Å, b = 15.9402 Å, c = 15.9402 Å, α = 90.00°, β = 90.00° and γ = 90.00°. The distinct sites, in fractional coordinates, are Ba at (0.0000, 0.0000, 0.2245), Tl at (0.0000, 0.0000, 0.5000), Tl at (0.0000, 0.2500, 0.2500), Tl at (0.1249, 0.1249, 0.3751) and Tl at (0.1661, 0.1661, 0.1661).


No. 8
Below is an optimized crystal structure of K9Au3IO2, with properties calculated at the PBE level.

It has space group P-3m1 (No. 164), with a = 7.6165 Å, b = 7.6165 Å, c = 11.4581 Å, α = 90.00°, β = 90.00° and γ = 120.00°. The distinct sites, in fractional coordinates, are K at (0.0000, 0.5000, 0.0000), K at (0.1706, 0.3412, 0.2602), Au at (0.0000, 0.0000, 0.0000), Au at (0.3333, 0.6667, 0.7574), I at (0.0000, 0.0000, 0.5000) and O at (0.3333, 0.6667, 0.1455).

The value obtained for the uncorrected formation energy is -713 meV/atom.


No. 9
Below is an optimized crystal structure of NdU2In9, with properties calculated at the PBE level.

It has space group P4/mmm (No. 123), with a = 4.6587 Å, b = 4.6587 Å, c = 13.9925 Å, α = 90.00°, β = 90.00° and γ = 90.00°. The distinct sites, in fractional coordinates, are Nd at (0.0000, 0.0000, 0.0000), U at (0.0000, 0.0000, 0.3347), In at (0.0000, 0.5000, 0.1706), In at (0.0000, 0.5000, 0.5000), In at (0.5000, 0.5000, 0.0000) and In at (0.5000, 0.5000, 0.3349).


No. 10
Below is an optimized crystal structure of BeS2Br, with properties calculated at the PBE level.

It has space group I-42d (No. 122), with a = 5.9412 Å, b = 5.9412 Å, c = 9.4014 Å, α = 90.00°, β = 90.00° and γ = 90.00°. The distinct sites, in fractional coordinates, are Be at (0.0000, 0.0000, 0.0000), S at (0.1435, 0.2500, 0.1250) and Br at (0.0000, 0.0000, 0.5000).

The energy above the most stable polymorph in this dataset comes out at 0.73 eV/f.u. The value obtained for the uncorrected formation energy is 113 meV/atom.


No. 11
Below is an optimized crystal structure of Mg2CoRe, with properties calculated at the PBE level.

It has space group Cmmm (No. 65), with a = 5.3911 Å, b = 8.6016 Å, c = 2.6522 Å, α = 90.00°, β = 90.00° and γ = 90.00°. The distinct sites, in fractional coordinates, are Mg at (0.2500, 0.2500, 0.0000), Co at (0.0000, 0.0000, 0.5000) and Re at (0.0000, 0.5000, 0.5000).

The energy above the most stable polymorph in this dataset comes out at 1.01 eV/f.u.


No. 12
Below is an optimized crystal structure of FePdRh3, with properties calculated at the PBE level.

It has space group P2_1/m (No. 11), with a = 6.4808 Å, b = 2.7151 Å, c = 8.7300 Å, α = 90.00°, β = 111.09° and γ = 90.00°. The distinct sites, in fractional coordinates, are Fe at (0.1933, 0.2500, 0.0551), Pd at (0.3543, 0.7500, 0.3517), Rh at (0.0497, 0.7500, 0.7750), Rh at (0.1875, 0.2500, 0.5598) and Rh at (0.4369, 0.2500, 0.8646).

The energy above the most stable polymorph in this dataset comes out at 0.00 eV/f.u.


No. 13
Below is an optimized crystal structure of BaMg2W, with properties calculated at the PBE level.

It has space group Pm (No. 6), with a = 3.0309 Å, b = 4.8649 Å, c = 7.0355 Å, α = 90.00°, β = 95.49° and γ = 90.00°. The distinct sites, in fractional coordinates, are Ba at (0.0000, 0.0000, 0.0000), Mg at (0.6000, 0.5000, 0.3221), Mg at (0.6171, 0.0000, 0.5564) and W at (0.1810, 0.5000, 0.6662).

The energy above the most stable polymorph in this dataset comes out at 0.61 eV/f.u.


No. 14
Below is an optimized crystal structure of HoTmMnRu, with properties calculated at the PBE level.

It has space group F-43m (No. 216), with a = 6.8740 Å, b = 6.8740 Å, c = 6.8740 Å, α = 90.00°, β = 90.00° and γ = 90.00°. The distinct sites, in fractional coordinates, are Ho at (0.0000, 0.0000, 0.0000), Tm at (0.0000, 0.0000, 0.5000), Mn at (0.2500, 0.2500, 0.7500) and Ru at (0.2500, 0.2500, 0.2500).


No. 15
Below is an optimized crystal structure of SrMn2Sb, with properties calculated at the PBE level.

It has space group P2/m (No. 10), with a = 3.4805 Å, b = 4.7462 Å, c = 6.0960 Å, α = 90.00°, β = 100.18° and γ = 90.00°. The distinct sites, in fractional coordinates, are Sr at (0.0000, 0.0000, 0.0000), Mn at (0.3352, 0.5000, 0.6903) and Sb at (0.5000, 0.0000, 0.5000).

The value obtained for the uncorrected formation energy is 326 meV/atom.


No. 16
Below is an optimized crystal structure of SmTlTe, with properties calculated at the PBE level.

It has space group P-62c (No. 190), with a = 8.6727 Å, b = 8.6727 Å, c = 8.6185 Å, α = 90.00°, β = 90.00° and γ = 120.00°. The distinct sites, in fractional coordinates, are Sm at (0.0000, 0.0000, 0.2500), Sm at (0.3333, 0.6667, 0.0082), Tl at (0.0081, 0.5752, 0.7500) and Te at (0.0000, 0.2655, 0.0000).

The value obtained for the uncorrected formation energy is -685 meV/atom.


No. 17
Below is an optimized crystal structure of ScTiBi2O6, with properties calculated at the PBE level.

It has space group P2_1/c (No. 14), with a = 5.8652 Å, b = 5.6175 Å, c = 9.7739 Å, α = 90.00°, β = 126.29° and γ = 90.00°. The distinct sites, in fractional coordinates, are Sc at (0.0000, 0.0000, 0.0000), Ti at (0.5000, 0.0000, 0.5000), Bi at (0.2768, 0.0321, 0.7538), O at (0.1654, 0.0233, 0.2604), O at (0.3035, 0.7307, 0.0615) and O at (0.3305, 0.2442, 0.0655).

The value obtained for the uncorrected formation energy is -2176 meV/atom.


Total moment (computed, μB per atom): 0.000 0.000 0.427 0.000 1.446 0.000 0.030 0.000 0.446 0.000 0.440 0.652 0.000 0.899 1.972 0.000 0.033
Final energy (computed, hartree per atom): -0.269 -0.282 -0.121 -0.146 -0.141 -0.151 -0.091 -0.103 -0.165 -0.121 -0.196 -0.260 -0.138 -0.257 -0.210 -0.150 -0.270